# 1
Density functional theory data (PBEsol) for a relaxed MgCu3H crystal.

Lattice parameters (Å, degrees): 3.7665 3.7665 3.7665 90.00 90.00 90.00
Fractional positions:
Mg  0.0000  0.0000  0.0000
Cu  0.0000  0.5000  0.5000
Cu  0.5000  0.0000  0.5000
Cu  0.5000  0.5000  0.0000
H  0.5000  0.5000  0.5000

=====

# 2
Density functional theory data (PBEsol) for a relaxed MgCu2H2 crystal.

Lattice parameters (Å, degrees): 4.7335 4.7335 4.7335 138.46 138.46 60.21
Fractional positions:
Mg  0.0000  0.0000  0.0000
Cu  0.3416  0.3416  0.0000
Cu  0.6584  0.6584  0.0000
H  0.2500  0.7500  0.5000
H  0.7500  0.2500  0.5000

=====

# 3
Density functional theory data (PBEsol) for a relaxed MnCuH2 crystal.

Lattice parameters (Å, degrees): 4.9554 4.9554 4.9554 134.41 134.41 66.45
Fractional positions:
Mn  0.0000  0.0000  0.0000
Mn  0.7500  0.2500  0.5000
Cu  0.2500  0.7500  0.5000
Cu  0.5000  0.5000  0.0000
H  0.1160  0.6250  0.9910
H  0.3750  0.3660  0.4910
H  0.6340  0.1250  0.0090
H  0.8750  0.8840  0.5090

=====

# 4
Density functional theory data (PBEsol) for a relaxed MnCuNi2H crystal.

Lattice parameters (Å, degrees): 3.6231 3.6231 3.6034 90.00 90.00 90.00
Fractional positions:
Mn  0.0000  0.0000  0.0000
Cu  0.5000  0.5000  0.0000
Ni  0.0000  0.5000  0.5000
Ni  0.5000  0.0000  0.5000
H  0.5000  0.5000  0.5000

=====

# 5
Density functional theory data (PBEsol) for a relaxed Mn2Cu5P4H2O18 crystal.

Lattice parameters (Å, degrees): 5.3929 7.4450 8.8524 109.19 95.86 101.86
Fractional positions:
Mn  0.0484  0.2881  0.4796
Mn  0.9516  0.7119  0.5204
Cu  0.2319  0.8951  0.9988
Cu  0.2633  0.5299  0.1122
Cu  0.5000  0.0000  0.5000
Cu  0.7367  0.4701  0.8878
Cu  0.7681  0.1049  0.0012
P  0.1667  0.1487  0.7659
P  0.4986  0.2923  0.3063
P  0.5014  0.7077  0.6937
P  0.8333  0.8513  0.2341
H  0.1444  0.5458  0.8369
H  0.8556  0.4542  0.1631
O  0.0020  0.2609  0.6965
O  0.0201  0.0407  0.8645
O  0.0984  0.6186  0.9419
O  0.2137  0.9770  0.6179
O  0.2149  0.5883  0.6112
O  0.3335  0.4284  0.2835
O  0.3756  0.1977  0.4249
O  0.4206  0.2880  0.8702
O  0.4896  0.8671  0.8551
O  0.5104  0.1329  0.1449
O  0.5794  0.7120  0.1298
O  0.6244  0.8023  0.5751
O  0.6665  0.5716  0.7165
O  0.7851  0.4117  0.3888
O  0.7863  0.0230  0.3821
O  0.9016  0.3814  0.0581
O  0.9799  0.9593  0.1355
O  0.9980  0.7391  0.3035

=====

# 6
Density functional theory data (PBEsol) for a relaxed MnCu2TeH crystal.

Lattice parameters (Å, degrees): 4.7646 4.7646 3.2796 90.00 90.00 90.00
Fractional positions:
Mn  0.0000  0.0000  0.0000
Cu  0.0000  0.5000  0.0000
Cu  0.5000  0.0000  0.0000
Te  0.5000  0.5000  0.5000
H  0.0000  0.0000  0.5000

=====

# 7
Density functional theory data (PBEsol) for a relaxed Cu3MoH4O8 crystal.

Lattice parameters (Å, degrees): 8.2498 12.5612 6.0702 90.00 90.00 90.00
Fractional positions:
Cu  0.0000  0.0000  0.0000
Cu  0.0000  0.0000  0.5000
Cu  0.2367  0.3619  0.2482
Cu  0.2367  0.3619  0.7518
Cu  0.2633  0.8619  0.2518
Cu  0.2633  0.8619  0.7482
Cu  0.5000  0.5000  0.0000
Cu  0.5000  0.5000  0.5000
Cu  0.7367  0.1381  0.2518
Cu  0.7367  0.1381  0.7482
Cu  0.7633  0.6381  0.2482
Cu  0.7633  0.6381  0.7518
Mo  0.1117  0.6304  0.0000
Mo  0.3883  0.1304  0.5000
Mo  0.6117  0.8696  0.5000
Mo  0.8883  0.3696  0.0000
H  0.0425  0.1650  0.2747
H  0.0425  0.1650  0.7253
H  0.1390  0.5046  0.5000
H  0.1435  0.7294  0.5000
H  0.3565  0.2294  0.0000
H  0.3610  0.0046  0.0000
H  0.4575  0.6650  0.2253
H  0.4575  0.6650  0.7747
H  0.5425  0.3350  0.2253
H  0.5425  0.3350  0.7747
H  0.6390  0.9954  0.0000
H  0.6435  0.7706  0.0000
H  0.8565  0.2706  0.5000
H  0.8610  0.4954  0.5000
H  0.9575  0.8350  0.2747
H  0.9575  0.8350  0.7253
O  0.0000  0.3466  0.2471
O  0.0000  0.3466  0.7529
O  0.0000  0.6534  0.2471
O  0.0000  0.6534  0.7529
O  0.0289  0.8979  0.2557
O  0.0289  0.8979  0.7443
O  0.1935  0.5005  0.0000
O  0.2231  0.2188  0.5000
O  0.2330  0.4566  0.5000
O  0.2483  0.7677  0.5000
O  0.2517  0.2677  0.0000
O  0.2670  0.9566  0.0000
O  0.2769  0.7188  0.0000
O  0.3065  0.0005  0.5000
O  0.4711  0.3979  0.2443
O  0.4711  0.3979  0.7557
O  0.5000  0.1534  0.2529
O  0.5000  0.1534  0.7471
O  0.5000  0.8466  0.2529
O  0.5000  0.8466  0.7471
O  0.5289  0.6021  0.2443
O  0.5289  0.6021  0.7557
O  0.6935  0.9995  0.5000
O  0.7231  0.2812  0.0000
O  0.7330  0.0434  0.0000
O  0.7483  0.7323  0.0000
O  0.7517  0.2323  0.5000
O  0.7670  0.5434  0.5000
O  0.7769  0.7812  0.5000
O  0.8065  0.4995  0.0000
O  0.9711  0.1021  0.2557
O  0.9711  0.1021  0.7443

=====

# 8
Density functional theory data (PBEsol) for a relaxed Cu3Mo2H2O10 crystal.

Computed properties:
energy relative to the lowest polymorph listed for this composition: 4 meV per atom

Lattice parameters (Å, degrees): 5.3618 5.5624 7.4533 102.62 106.13 98.63
Fractional positions:
Cu  0.0000  0.0000  0.0000
Cu  0.2289  0.5895  0.1862
Cu  0.7711  0.4105  0.8138
Mo  0.3238  0.7675  0.6960
Mo  0.6762  0.2325  0.3040
H  0.2317  0.3380  0.8594
H  0.7683  0.6620  0.1406
O  0.0387  0.7990  0.7696
O  0.1085  0.3230  0.9382
O  0.2387  0.7415  0.4468
O  0.4163  0.9685  0.1716
O  0.4258  0.4884  0.7451
O  0.5742  0.5116  0.2549
O  0.5837  0.0315  0.8284
O  0.7613  0.2585  0.5532
O  0.8915  0.6770  0.0618
O  0.9613  0.2010  0.2304

=====

# 9
Density functional theory data (PBEsol) for a relaxed Cu3Mo2H2O10 crystal.

Computed properties:
energy relative to the lowest polymorph listed for this composition: 0 meV per atom

Lattice parameters (Å, degrees): 5.3349 13.8535 7.0578 90.00 129.15 90.00
Fractional positions:
Cu  0.0000  0.0000  0.0000
Cu  0.0000  0.5000  0.5000
Cu  0.3799  0.0935  0.5234
Cu  0.3799  0.4065  0.0234
Cu  0.6201  0.5935  0.9766
Cu  0.6201  0.9065  0.4766
Mo  0.4118  0.6545  0.3692
Mo  0.4118  0.8455  0.8692
Mo  0.5882  0.1545  0.1308
Mo  0.5882  0.3455  0.6308
H  0.0928  0.5699  0.8897
H  0.0928  0.9301  0.3897
H  0.9072  0.0699  0.6103
H  0.9072  0.4301  0.1103
O  0.0332  0.6296  0.0721
O  0.0332  0.8704  0.5721
O  0.2079  0.5302  0.8461
O  0.2079  0.9698  0.3461
O  0.2640  0.1135  0.1201
O  0.2640  0.3865  0.6201
O  0.4210  0.5903  0.5868
O  0.4210  0.9097  0.0868
O  0.4507  0.7217  0.9355
O  0.4507  0.7783  0.4355
O  0.5493  0.2217  0.5645
O  0.5493  0.2783  0.0645
O  0.5790  0.0903  0.9132
O  0.5790  0.4097  0.4132
O  0.7360  0.6135  0.3799
O  0.7360  0.8865  0.8799
O  0.7921  0.0302  0.6539
O  0.7921  0.4698  0.1539
O  0.9668  0.1296  0.4279
O  0.9668  0.3704  0.9279

=====

# 10
Density functional theory data (PBEsol) for a relaxed CuPH6NO5 crystal.

Computed properties:
energy relative to the lowest polymorph listed for this composition: 0 meV per atom

Lattice parameters (Å, degrees): 8.6075 7.4199 7.4273 90.00 95.28 90.00
Fractional positions:
Cu  0.0386  0.1897  0.0714
Cu  0.0386  0.3103  0.5714
Cu  0.9614  0.6897  0.4286
Cu  0.9614  0.8103  0.9286
P  0.1910  0.5499  0.1708
P  0.1910  0.9501  0.6708
P  0.8089  0.0499  0.3292
P  0.8089  0.4501  0.8292
H  0.1999  0.0660  0.3251
H  0.1999  0.4340  0.8251
H  0.2007  0.5680  0.6532
H  0.2007  0.9320  0.1532
H  0.3686  0.2138  0.5146
H  0.3686  0.2862  0.0146
H  0.4269  0.1199  0.8801
H  0.4269  0.3801  0.3801
H  0.4606  0.6738  0.4239
H  0.4606  0.8262  0.9239
H  0.4714  0.6807  0.1064
H  0.4714  0.8193  0.6064
H  0.5286  0.1807  0.3936
H  0.5286  0.3193  0.8936
H  0.5394  0.1738  0.0761
H  0.5394  0.3262  0.5761
H  0.5731  0.6199  0.6199
H  0.5731  0.8801  0.1199
H  0.6314  0.7138  0.9854
H  0.6314  0.7862  0.4854
H  0.7993  0.0680  0.8468
H  0.7993  0.4320  0.3468
H  0.8001  0.5660  0.1749
H  0.8001  0.9340  0.6749
N  0.4664  0.2262  0.9673
N  0.4664  0.2738  0.4673
N  0.5336  0.7262  0.5327
N  0.5336  0.7738  0.0327
O  0.0855  0.5054  0.3223
O  0.0855  0.9946  0.8223
O  0.1481  0.7315  0.0746
O  0.1481  0.7685  0.5746
O  0.1701  0.1056  0.5268
O  0.1701  0.3944  0.0268
O  0.2217  0.0614  0.1926
O  0.2217  0.4386  0.6926
O  0.3646  0.5573  0.2425
O  0.3646  0.9427  0.7425
O  0.6354  0.0573  0.2575
O  0.6354  0.4427  0.7575
O  0.7783  0.5614  0.3074
O  0.7783  0.9386  0.8074
O  0.8299  0.6056  0.9732
O  0.8299  0.8944  0.4732
O  0.8519  0.2315  0.4254
O  0.8519  0.2685  0.9254
O  0.9145  0.0054  0.1777
O  0.9145  0.4946  0.6777

=====

# 11
Density functional theory data (PBEsol) for a relaxed CuPH6NO5 crystal.

Computed properties:
energy relative to the lowest polymorph listed for this composition: 23 meV per atom

Lattice parameters (Å, degrees): 5.6115 8.7881 4.6828 90.00 90.00 90.00
Fractional positions:
Cu  0.0000  0.0264  0.0000
Cu  0.5000  0.9736  0.5000
P  0.0000  0.8092  0.4343
P  0.5000  0.1908  0.9343
H  0.0000  0.5412  0.7005
H  0.0000  0.5447  0.0726
H  0.1411  0.1742  0.4326
H  0.1529  0.4069  0.8925
H  0.3471  0.5931  0.3925
H  0.3589  0.8258  0.9326
H  0.5000  0.4553  0.5726
H  0.5000  0.4588  0.2005
H  0.6411  0.8258  0.9326
H  0.6529  0.5931  0.3925
H  0.8471  0.4069  0.8925
H  0.8589  0.1742  0.4326
N  0.0000  0.4738  0.8891
N  0.5000  0.5262  0.3891
O  0.0000  0.1911  0.3063
O  0.0000  0.6340  0.3907
O  0.0000  0.8410  0.7555
O  0.2212  0.8816  0.2812
O  0.2788  0.1184  0.7812
O  0.5000  0.1590  0.2555
O  0.5000  0.3660  0.8907
O  0.5000  0.8089  0.8063
O  0.7212  0.1184  0.7812
O  0.7788  0.8816  0.2812

=====

# 12
Density functional theory data (PBEsol) for a relaxed CuH20Se2N2O14 crystal.

Lattice parameters (Å, degrees): 6.6271 12.0055 9.2146 90.00 104.13 90.00
Fractional positions:
Cu  0.0000  0.0000  0.0000
Cu  0.0000  0.5000  0.5000
H  0.0154  0.1862  0.1415
H  0.0154  0.3137  0.6415
H  0.0723  0.0869  0.2636
H  0.0723  0.4131  0.7636
H  0.1225  0.6248  0.7710
H  0.1225  0.8752  0.2710
H  0.1870  0.6566  0.0291
H  0.1870  0.8434  0.5291
H  0.2895  0.7452  0.1691
H  0.2895  0.7548  0.6691
H  0.3014  0.0515  0.8846
H  0.3014  0.4485  0.3846
H  0.3020  0.1409  0.0149
H  0.3020  0.3591  0.5149
H  0.3368  0.5835  0.7333
H  0.3368  0.9165  0.2333
H  0.3606  0.6033  0.1789
H  0.3606  0.8967  0.6789
H  0.4393  0.6931  0.0577
H  0.4393  0.8069  0.5577
H  0.5607  0.1931  0.4423
H  0.5607  0.3069  0.9423
H  0.6394  0.1033  0.3211
H  0.6394  0.3967  0.8211
H  0.6632  0.0835  0.7667
H  0.6632  0.4165  0.2667
H  0.6980  0.6409  0.4851
H  0.6980  0.8591  0.9851
H  0.6986  0.5515  0.6154
H  0.6986  0.9485  0.1154
H  0.7105  0.2452  0.3309
H  0.7105  0.2548  0.8309
H  0.8130  0.1566  0.4709
H  0.8130  0.3434  0.9709
H  0.8775  0.1248  0.7290
H  0.8775  0.3752  0.2290
H  0.9277  0.5869  0.2364
H  0.9277  0.9131  0.7364
H  0.9846  0.6862  0.3585
H  0.9846  0.8138  0.8585
Se  0.2551  0.1269  0.5824
Se  0.2551  0.3731  0.0824
Se  0.7449  0.6269  0.9176
Se  0.7449  0.8731  0.4176
N  0.3219  0.6736  0.1121
N  0.3219  0.8264  0.6121
N  0.6781  0.1736  0.3879
N  0.6781  0.3264  0.8879
O  0.0167  0.6064  0.3389
O  0.0167  0.8936  0.8389
O  0.0388  0.1785  0.6214
O  0.0388  0.3215  0.1214
O  0.1985  0.0486  0.4303
O  0.1985  0.4514  0.9303
O  0.2024  0.6223  0.6927
O  0.2024  0.8777  0.1927
O  0.2654  0.0617  0.9836
O  0.2654  0.4383  0.4836
O  0.3856  0.0500  0.7266
O  0.3856  0.4500  0.2266
O  0.4028  0.2349  0.5598
O  0.4028  0.2651  0.0598
O  0.5972  0.7349  0.9402
O  0.5972  0.7651  0.4402
O  0.6144  0.5500  0.7734
O  0.6144  0.9500  0.2734
O  0.7346  0.5617  0.5164
O  0.7346  0.9383  0.0164
O  0.7976  0.1223  0.8073
O  0.7976  0.3777  0.3073
O  0.8015  0.5486  0.0697
O  0.8015  0.9514  0.5697
O  0.9612  0.6785  0.8786
O  0.9612  0.8215  0.3786
O  0.9833  0.1064  0.1611
O  0.9833  0.3936  0.6611

=====

# 13
Density functional theory data (PBEsol) for a relaxed NaCu2H crystal.

Lattice parameters (Å, degrees): 4.1616 4.1616 4.1616 60.00 60.00 60.00
Fractional positions:
Na  0.0000  0.0000  0.0000
Cu  0.2500  0.2500  0.2500
Cu  0.7500  0.7500  0.7500
H  0.5000  0.5000  0.5000

=====

Per-record electronic total energy, eV for the cell shown: -17.8, -16.7, -40.1, -29.7, -211.2, -22.0, -386.3, -117.3, -234.7, -323.3, -161.0, -403.2, -9.5